A plane-wave DFT calculation with GGA-PBE was carried out for an optimized crystal structure of CaAgBiO5.

Cell: 11.0145 5.8644 9.0527 Å, 72.00 90.00 90.00°
Positions (direct):
Ca 0.1072 0.5268 0.8418
Ca 0.8928 0.4732 0.1582
Ca 0.6072 0.4732 0.6582
Ca 0.3928 0.5268 0.3418
Ag 0.3741 0.0718 0.1180
Ag 0.6259 0.9282 0.8820
Ag 0.8741 0.9282 0.3820
Ag 0.1259 0.0718 0.6180
Bi 0.9084 0.0396 0.8426
Bi 0.0916 0.9604 0.1574
Bi 0.5916 0.0396 0.3426
Bi 0.4084 0.9604 0.6574
O 0.9774 0.8614 0.6821
O 0.0201 0.3114 0.6873
O 0.7605 0.2231 0.3263
O 0.4644 0.7777 0.4930
O 0.7154 0.7482 0.4457
O 0.7846 0.7482 0.9457
O 0.4799 0.3114 0.1873
O 0.5201 0.6886 0.8127
O 0.5356 0.2223 0.5070
O 0.4774 0.1386 0.8179
O 0.2846 0.2518 0.5543
O 0.0226 0.1386 0.3179
O 0.5226 0.8614 0.1821
O 0.2154 0.2518 0.0543
O 0.9644 0.2223 0.0070
O 0.0356 0.7777 0.9930
O 0.2395 0.7769 0.6737
O 0.9799 0.6886 0.3127
O 0.2605 0.7769 0.1737
O 0.7395 0.2231 0.8263

## Properties
formation energy (no corrections): -1.073 eV per atom
electronic total energy: -5.264 eV/atom